[1]
# PBE-GGA CeGa4Pd4, relaxed
data_CeGa4Pd4
_cell_length_a 6.1521
_cell_length_b 6.1521
_cell_length_c 8.6075
_cell_angle_alpha 90.00
_cell_angle_beta 90.00
_cell_angle_gamma 90.00
_space_group_name_H-M_alt 'P 1'
_space_group_IT_number 1
loop_
_space_group_symop_operation_xyz
'x,y,z'
loop_
_atom_site_label
_atom_site_type_symbol
_atom_site_fract_x
_atom_site_fract_y
_atom_site_fract_z
Ga1 Ga 0.7077 0.0000 0.3186
Ga2 Ga 0.7923 0.5000 0.1814
Ga3 Ga 0.2923 0.0000 0.3186
Ga4 Ga 0.0000 0.7077 0.6814
Ga5 Ga 0.0000 0.2923 0.6814
Ga6 Ga 0.5000 0.2077 0.8186
Ga7 Ga 0.2077 0.5000 0.1814
Ga8 Ga 0.5000 0.7923 0.8186
Pd1 Pd 0.7295 0.0000 0.6140
Pd2 Pd 0.2295 0.5000 0.8860
Pd3 Pd 0.0000 0.7295 0.3860
Pd4 Pd 0.0000 0.2705 0.3860
Pd5 Pd 0.5000 0.7705 0.1140
Pd6 Pd 0.7705 0.5000 0.8860
Pd7 Pd 0.5000 0.2295 0.1140
Pd8 Pd 0.2705 0.0000 0.6140
Ce1 Ce 0.5000 0.5000 0.5000
Ce2 Ce 0.0000 0.0000 0.0000
# Energy of formation from the pure elements (meV per atom): -629
# N(E_F) (states/eV per cell): 20.65
# Calculated volume (Å³ per atom): 18.1


[2]
# PBE-GGA MoOsW2, relaxed
data_MoOsW2
_cell_length_a 5.2125
_cell_length_b 5.2105
_cell_length_c 2.7516
_cell_angle_alpha 79.60
_cell_angle_beta 80.39
_cell_angle_gamma 117.14
_space_group_name_H-M_alt 'P 1'
_space_group_IT_number 1
loop_
_space_group_symop_operation_xyz
'x,y,z'
loop_
_atom_site_label
_atom_site_type_symbol
_atom_site_fract_x
_atom_site_fract_y
_atom_site_fract_z
W1 W 0.0000 0.0000 0.0000
W2 W 0.5000 0.0000 0.5000
Os1 Os 0.5000 0.5000 0.0000
Mo1 Mo 0.0000 0.5000 0.5000
# Energy of formation from the pure elements (meV per atom): 148
# N(E_F) (states/eV per cell): 3.29
# Energy relative to the lowest polymorph listed for this composition (meV/atom): 13
# Calculated volume (Å³ per atom): 15.7


[3]
# PBE-GGA Pr2Pb2O7, relaxed
data_Pr2Pb2O7
_cell_length_a 7.8096
_cell_length_b 7.8096
_cell_length_c 7.8096
_cell_angle_alpha 60.00
_cell_angle_beta 60.00
_cell_angle_gamma 60.00
_space_group_name_H-M_alt 'P 1'
_space_group_IT_number 1
loop_
_space_group_symop_operation_xyz
'x,y,z'
loop_
_atom_site_label
_atom_site_type_symbol
_atom_site_fract_x
_atom_site_fract_y
_atom_site_fract_z
Pb1 Pb 0.6250 0.1250 0.1250
Pb2 Pb 0.1250 0.1250 0.6250
Pb3 Pb 0.1250 0.6250 0.1250
Pb4 Pb 0.1250 0.1250 0.1250
O1 O 0.0325 0.4675 0.0325
O2 O 0.5000 0.5000 0.5000
O3 O 0.2175 0.2175 0.7825
O4 O 0.7825 0.7825 0.2175
O5 O 0.7825 0.2175 0.2175
O6 O 0.4675 0.4675 0.0325
O7 O 0.7825 0.2175 0.7825
O8 O 0.7500 0.7500 0.7500
O9 O 0.4675 0.0325 0.4675
O10 O 0.0325 0.0325 0.4675
O11 O 0.2175 0.7825 0.2175
O12 O 0.4675 0.0325 0.0325
O13 O 0.0325 0.4675 0.4675
O14 O 0.2175 0.7825 0.7825
Pr1 Pr 0.6250 0.6250 0.1250
Pr2 Pr 0.6250 0.6250 0.6250
Pr3 Pr 0.1250 0.6250 0.6250
Pr4 Pr 0.6250 0.1250 0.6250
# Formation energy without anion corrections (eV per formula unit): -22.74
# Calculated volume (Å³ per atom): 15.3